This record from Alexandria describes a crystal of CuPbIO2 relaxed with PBEsol. The functional is SCAN.

Values from the calculation:
crystal system: tetragonal
M_tot: 0.66 Bohr magnetons per cell
SG: P4/mmm (123)
mass density: 8.2 g/cm³
ΔE_f (raw): 0.0981 eV per atom
calculated volume: 87 Å³ per cell

a = 4.217 Å, b = 4.217 Å, c = 4.885 Å
α = 90.00°, β = 90.00°, γ = 90.00°
Last column: magnetic moment on the atom in μB.
Fractional coordinates of all 5 atoms:
Pb 0.500 0.500 0.500  -0.02
O 0.500 0.000 0.000  0.27
O 0.000 0.500 0.000  0.27
Cu 0.000 0.000 0.000  0.08
I 0.000 0.000 0.500  0.02